Entry from the Alexandria database: LiZn2In at its PBEsol-relaxed geometry (meta-GGA SCAN).

Results
Calculated density, g/cm³: 6.3
DOS at the Fermi energy, states/eV/f.u.: 1.1
Energy of formation from the pure elements, eV/atom: -0.091
Space group: P4mm (99)

Cell lengths 3.278, 3.278, 6.177 Å; angles 90.00, 90.00, 90.00 degrees
Atoms (fractional coordinates):
Li 0.000 0.000 0.000
Zn 0.000 0.000 0.435
Zn 0.500 0.500 0.228
In 0.500 0.500 0.727